(1)
Below is an optimized crystal structure of Sr2ErUO6, with properties calculated at the GGA-PBE level.

Summary:
ΔE to the lowest computed polymorph, meV/atom: 115
Energy relative to the elements, uncorrected, eV per atom: -3.182

Geometry as CIF:
```
data_Sr2ErUO6
_symmetry_space_group_name_H-M 'P 1'
_symmetry_Int_Tables_number 1
_cell_length_a 6.126
_cell_length_b 6.126
_cell_length_c 6.126
_cell_angle_alpha 60.00
_cell_angle_beta 60.00
_cell_angle_gamma 60.00
loop_
_symmetry_equiv_pos_as_xyz
'x,y,z'
loop_
_atom_site_label
_atom_site_type_symbol
_atom_site_fract_x
_atom_site_fract_y
_atom_site_fract_z
Sr1 Sr 0.250 0.250 0.250
Sr2 Sr 0.750 0.750 0.750
Er1 Er 0.500 0.500 0.500
U1 U 0.000 0.000 0.000
O1 O 0.246 0.754 0.246
O2 O 0.754 0.246 0.754
O3 O 0.246 0.246 0.754
O4 O 0.754 0.754 0.246
O5 O 0.754 0.246 0.246
O6 O 0.246 0.754 0.754
```

=====

(2)
Below is an optimized crystal structure of NaScB2, with properties calculated at the GGA-PBE level.

Summary:
Fermi-level density of states, states/eV/atom: 0.316
ΔE to the lowest computed polymorph, meV/atom: 0
Formation energy, eV per formula unit: 3.044

Geometry as CIF:
```
data_NaScB2
_symmetry_space_group_name_H-M 'P 1'
_symmetry_Int_Tables_number 1
_cell_length_a 4.219
_cell_length_b 4.219
_cell_length_c 4.219
_cell_angle_alpha 60.00
_cell_angle_beta 60.00
_cell_angle_gamma 60.00
loop_
_symmetry_equiv_pos_as_xyz
'x,y,z'
loop_
_atom_site_label
_atom_site_type_symbol
_atom_site_fract_x
_atom_site_fract_y
_atom_site_fract_z
Sc1 Sc 0.500 0.500 0.500
Na1 Na 0.000 0.000 0.000
B1 B 0.250 0.250 0.250
B2 B 0.750 0.750 0.750
```

=====

(3)
Below is an optimized crystal structure of ZrSbTe2O, with properties calculated at the GGA-PBE level.

Summary:
Fermi-level density of states, states/eV/atom: 2.547
ΔE to the lowest computed polymorph, meV/atom: 688
Energy relative to the elements, uncorrected, eV per atom: 0.552

Geometry as CIF:
```
data_ZrSbTe2O
_symmetry_space_group_name_H-M 'P 1'
_symmetry_Int_Tables_number 1
_cell_length_a 5.464
_cell_length_b 5.464
_cell_length_c 5.611
_cell_angle_alpha 90.00
_cell_angle_beta 90.00
_cell_angle_gamma 90.00
loop_
_symmetry_equiv_pos_as_xyz
'x,y,z'
loop_
_atom_site_label
_atom_site_type_symbol
_atom_site_fract_x
_atom_site_fract_y
_atom_site_fract_z
Sb1 Sb 0.000 0.000 0.500
Te1 Te 0.000 0.500 0.000
Te2 Te 0.500 0.000 0.000
O1 O 0.500 0.500 0.500
Zr1 Zr 0.000 0.000 0.000
```

=====

Taking the records one at a time from the top gives E_tot values of -8.0782; -4.4905; -4.2302 eV per atom.